(1)
A plane-wave DFT calculation with PBE-GGA was carried out for crystalline Pm3Y4Tl2 at its relaxed geometry.

## Properties
Calculated formation energy ... -0.12 eV/atom

a b c (Å): 5.009 7.641 8.124
angles (deg): 107.96 107.96 90.00
Positions (direct):
Tl 0.654 0.998 0.308
Y 0.221 0.308 0.442
Y 0.441 0.667 0.882
Tl 0.346 0.002 0.692
Y 0.559 0.333 0.118
Y 0.779 0.692 0.558
Pm 0.000 0.000 0.000
Pm 0.115 0.678 0.230
Pm 0.885 0.322 0.770



(2)
A plane-wave DFT calculation with PBE-GGA was carried out for crystalline Ce3ZnRh3 at its relaxed geometry.

## Properties
Calculated formation energy ... -0.49 eV/atom
Excess energy over the best structure of this formula in the dataset ... 196 meV per atom

a b c (Å): 5.471 8.477 8.477
angles (deg): 120.00 90.00 90.00
Positions (direct):
Ce 0.250 0.055 0.697
Rh 0.750 0.043 0.683
Ce 0.250 0.642 0.945
Ce 0.750 0.358 0.055
Rh 0.250 0.957 0.317
Zn 0.250 0.667 0.333
Ce 0.750 0.697 0.642
Ce 0.750 0.945 0.303
Rh 0.750 0.641 0.957
Rh 0.250 0.359 0.043
Zn 0.750 0.333 0.667
Rh 0.250 0.683 0.641
Ce 0.250 0.303 0.358
Rh 0.750 0.317 0.359



(3)
A plane-wave DFT calculation with PBE-GGA was carried out for crystalline MgAsP at its relaxed geometry.

## Properties
Calculated formation energy ... 0.19 eV/atom
Excess energy over the best structure of this formula in the dataset ... 425 meV per atom

a b c (Å): 2.973 2.973 7.924
angles (deg): 90.00 90.00 120.00
Positions (direct):
Mg 0.667 0.333 0.340
As 0.000 0.000 0.058
P 0.333 0.667 0.602



(4)
A plane-wave DFT calculation with PBE-GGA was carried out for crystalline HfCrIn2Br at its relaxed geometry.

## Properties
Raw formation energy ... 1.189 eV/atom

a b c (Å): 5.668 5.059 5.668
angles (deg): 90.00 90.00 90.00
Positions (direct):
Hf 0.000 0.000 0.000
In 0.500 0.000 0.000
Cr 0.500 0.500 0.500
Br 0.000 0.500 0.000
In 0.000 0.000 0.500



(5)
A plane-wave DFT calculation with PBE-GGA was carried out for crystalline PaCu2AsO8 at its relaxed geometry.

## Properties
Raw formation energy ... -1.095 eV/atom

a b c (Å): 5.085 5.085 6.199
angles (deg): 90.00 90.00 120.00
Positions (direct):
Cu 0.667 0.333 0.307
O 0.713 0.983 0.309
O 0.731 0.713 0.691
O 0.017 0.731 0.309
O 0.983 0.269 0.691
O 0.667 0.333 0.008
O 0.287 0.017 0.691
O 0.333 0.667 0.992
As 0.000 0.000 0.500
Pa 0.000 0.000 0.000
O 0.269 0.287 0.309
Cu 0.333 0.667 0.693



(6)
A plane-wave DFT calculation with PBE-GGA was carried out for crystalline ScTaAlMo at its relaxed geometry.

## Properties
Calculated formation energy ... -0.17 eV/atom

a b c (Å): 4.634 4.634 4.634
angles (deg): 60.00 60.00 60.00
Positions (direct):
Al 0.750 0.750 0.750
Sc 0.000 0.000 0.000
Mo 0.250 0.250 0.250
Ta 0.500 0.500 0.500



(7)
A plane-wave DFT calculation with PBE-GGA was carried out for crystalline BaLa2Ni at its relaxed geometry.

## Properties
Calculated formation energy ... -0.01 eV/atom
Excess energy over the best structure of this formula in the dataset ... 91 meV per atom

a b c (Å): 6.889 6.889 6.372
angles (deg): 62.37 62.37 32.07
Positions (direct):
Ni 0.250 0.250 0.250
La 0.922 0.922 0.078
Ba 0.750 0.750 0.750
La 0.578 0.578 0.422



(8)
A plane-wave DFT calculation with PBE-GGA was carried out for crystalline TaMnCu at its relaxed geometry.

## Properties
Calculated formation energy ... 0.71 eV/atom
Excess energy over the best structure of this formula in the dataset ... 601 meV per atom

a b c (Å): 4.094 4.094 4.094
angles (deg): 60.00 60.00 60.00
Positions (direct):
Mn 0.750 0.750 0.750
Ta 0.000 0.000 0.000
Cu 0.500 0.500 0.500



(9)
A plane-wave DFT calculation with PBE-GGA was carried out for crystalline TbHo12Sc3 at its relaxed geometry.

## Properties
Calculated formation energy ... 0.04 eV/atom

a b c (Å): 4.923 4.923 19.636
angles (deg): 90.00 90.00 90.00
Positions (direct):
Ho 0.000 0.500 0.624
Ho 0.000 0.500 0.376
Sc 0.000 0.000 0.748
Ho 0.500 0.500 0.500
Ho 0.500 0.500 0.253
Sc 0.000 0.000 0.252
Ho 0.500 0.000 0.129
Ho 0.500 0.000 0.376
Ho 0.500 0.000 0.871
Tb 0.000 0.000 0.000
Ho 0.500 0.500 0.000
Ho 0.000 0.500 0.871
Sc 0.000 0.000 0.500
Ho 0.500 0.500 0.747
Ho 0.500 0.000 0.624
Ho 0.000 0.500 0.129



(10)
A plane-wave DFT calculation with PBE-GGA was carried out for crystalline NiPbAu2 at its relaxed geometry.

## Properties
Calculated formation energy ... 0.21 eV/atom

a b c (Å): 3.913 3.913 10.667
angles (deg): 79.43 79.43 90.00
Positions (direct):
Au 0.135 0.625 0.250
Au 0.375 0.385 0.750
Pb 0.000 0.000 0.000
Au 0.615 0.125 0.250
Ni 0.250 0.750 0.500
Pb 0.750 0.250 0.500
Au 0.875 0.865 0.750
Ni 0.500 0.500 0.000



(11)
A plane-wave DFT calculation with PBE-GGA was carried out for crystalline Be4Zn3 at its relaxed geometry.

## Properties
Calculated formation energy ... 0.23 eV/atom
Excess energy over the best structure of this formula in the dataset ... 0 meV per atom

a b c (Å): 9.194 9.194 9.194
angles (deg): 161.65 161.65 26.07
Positions (direct):
Be 0.133 0.133 0.000
Be 0.428 0.428 0.000
Zn 0.000 0.000 0.000
Zn 0.295 0.295 0.000
Be 0.867 0.867 0.000
Be 0.572 0.572 0.000
Zn 0.705 0.705 0.000



(12)
A plane-wave DFT calculation with PBE-GGA was carried out for crystalline Cd2PdPt at its relaxed geometry.

## Properties
Calculated formation energy ... -0.37 eV/atom

a b c (Å): 3.814 4.284 4.284
angles (deg): 90.00 90.00 90.00
Positions (direct):
Cd 0.000 0.500 0.000
Pt 0.500 0.000 0.000
Pd 0.500 0.500 0.500
Cd 0.000 0.000 0.500